The following is a PBE calculation of a relaxed structure of PuNpHg2, from Alexandria via LeMat-Bulk.

## Properties
As for the total DFT energy (no corrections): -27.40 eV per formula unit. As for the relative energy among the computed polymorphs: 71.2 meV per atom. The density of states at the Fermi level comes out at 14.3 states/eV per cell.

Lattice parameters (Å, degrees): 3.113 5.733 5.733 90.00 90.00 90.00
Fractional coordinates of all 4 atoms:
Pu: 0.500 0.500 0.500
Hg: 0.000 0.000 0.500
Np: 0.500 0.000 0.000
Hg: 0.000 0.500 0.000